Here is crystalline Tb2Dy5Er5 at its relaxed geometry from Alexandria via LeMat-Bulk. Energies are from PBE-GGA.

Structure (CIF):
```
data_Tb2Dy5Er5
_chemical_formula_sum 'Tb2 Dy5 Er5'
_cell_length_a 4.976
_cell_length_b 7.875
_cell_length_c 10.572
_cell_angle_alpha 72.67
_cell_angle_beta 76.39
_cell_angle_gamma 71.58
_symmetry_space_group_name_H-M 'P 1'
_symmetry_Int_Tables_number 1
_symmetry_space_group_name_Hall 'P 1'
loop_
_atom_site_label
_atom_site_fract_x
_atom_site_fract_y
_atom_site_fract_z
Er1 0.833 0.834 0.500
Er2 0.167 0.166 0.500
Er3 0.000 0.000 0.000
Er4 0.750 0.249 0.250
Er5 0.250 0.751 0.750
Dy1 0.584 0.083 0.750
Dy2 0.416 0.917 0.250
Dy3 0.500 0.500 0.500
Dy4 0.334 0.333 0.000
Dy5 0.666 0.667 0.000
Tb1 0.083 0.583 0.251
Tb2 0.917 0.417 0.749
```

Summary:
crystal system: monoclinic
E_form: 20 meV per atom

=====

Here is crystalline Ba2AlAu at its relaxed geometry from Alexandria via LeMat-Bulk. Energies are from PBE-GGA.

Structure (CIF):
```
data_Ba2AlAu
_chemical_formula_sum 'Ba2 Al1 Au1'
_cell_length_a 6.361
_cell_length_b 6.361
_cell_length_c 6.361
_cell_angle_alpha 134.25
_cell_angle_beta 134.25
_cell_angle_gamma 66.70
_symmetry_space_group_name_H-M 'P 1'
_symmetry_Int_Tables_number 1
_symmetry_space_group_name_Hall 'P 1'
loop_
_atom_site_label
_atom_site_fract_x
_atom_site_fract_y
_atom_site_fract_z
Ba1 0.250 0.750 0.500
Ba2 0.000 0.000 0.000
Au1 0.750 0.250 0.500
Al1 0.500 0.500 0.000
```

Summary:
crystal system: tetragonal
E_form: -163 meV per atom

=====

Here is crystalline Nb2AlV2 at its relaxed geometry from Alexandria via LeMat-Bulk. Energies are from PBE-GGA.

Structure (CIF):
```
data_Nb2AlV2
_chemical_formula_sum 'Nb4 Al2 V4'
_cell_length_a 6.917
_cell_length_b 6.917
_cell_length_c 3.424
_cell_angle_alpha 90.00
_cell_angle_beta 90.00
_cell_angle_gamma 90.00
_symmetry_space_group_name_H-M 'P 1'
_symmetry_Int_Tables_number 1
_symmetry_space_group_name_Hall 'P 1'
loop_
_atom_site_label
_atom_site_fract_x
_atom_site_fract_y
_atom_site_fract_z
V1 0.883 0.617 0.000
V2 0.617 0.117 0.000
V3 0.383 0.883 0.000
V4 0.117 0.383 0.000
Al1 0.000 0.000 0.000
Al2 0.500 0.500 0.000
Nb1 0.314 0.186 0.500
Nb2 0.686 0.814 0.500
Nb3 0.814 0.314 0.500
Nb4 0.186 0.686 0.500
```

Summary:
ΔE to the lowest computed polymorph: 0.134 eV per atom
crystal system: tetragonal
E_form: 57 meV per atom

=====

Here is crystalline Bi6RuO12 at its relaxed geometry from Alexandria via LeMat-Bulk. Energies are from PBE-GGA.

Structure (CIF):
```
data_Bi6RuO12
_chemical_formula_sum 'Bi6 Ru1 O12'
_cell_length_a 6.722
_cell_length_b 6.722
_cell_length_c 6.722
_cell_angle_alpha 99.73
_cell_angle_beta 99.73
_cell_angle_gamma 99.73
_symmetry_space_group_name_H-M 'P 1'
_symmetry_Int_Tables_number 1
_symmetry_space_group_name_Hall 'P 1'
loop_
_atom_site_label
_atom_site_fract_x
_atom_site_fract_y
_atom_site_fract_z
O1 0.709 0.930 0.024
O2 0.566 0.435 0.818
O3 0.024 0.709 0.930
O4 0.976 0.291 0.070
O5 0.565 0.182 0.434
O6 0.070 0.976 0.291
O7 0.930 0.024 0.709
O8 0.435 0.818 0.566
O9 0.818 0.566 0.435
O10 0.291 0.070 0.976
O11 0.182 0.434 0.565
O12 0.434 0.565 0.182
Bi1 0.704 0.857 0.406
Bi2 0.857 0.406 0.704
Bi3 0.406 0.704 0.857
Bi4 0.296 0.143 0.594
Bi5 0.594 0.296 0.143
Bi6 0.143 0.594 0.296
Ru1 0.000 0.000 0.000
```

Summary:
crystal system: trigonal
E_form (uncorrected): -1144 meV per atom

=====

Here is crystalline Ti2VW at its relaxed geometry from Alexandria via LeMat-Bulk. Energies are from PBE-GGA.

Structure (CIF):
```
data_Ti2VW
_chemical_formula_sum 'Ti2 V1 W1'
_cell_length_a 3.168
_cell_length_b 4.465
_cell_length_c 4.465
_cell_angle_alpha 90.00
_cell_angle_beta 90.00
_cell_angle_gamma 90.00
_symmetry_space_group_name_H-M 'P 1'
_symmetry_Int_Tables_number 1
_symmetry_space_group_name_Hall 'P 1'
loop_
_atom_site_label
_atom_site_fract_x
_atom_site_fract_y
_atom_site_fract_z
V1 0.500 0.000 0.000
Ti1 0.000 0.000 0.500
Ti2 0.000 0.500 0.000
W1 0.500 0.500 0.500
```

Summary:
ΔE to the lowest computed polymorph: 0.045 eV per atom
crystal system: tetragonal
E_form: 86 meV per atom

=====

Here is crystalline K12Se3Br5 at its relaxed geometry from Alexandria via LeMat-Bulk. Energies are from PBE-GGA.

Structure (CIF):
```
data_K12Se3Br5
_chemical_formula_sum 'K48 Se12 Br20'
_cell_length_a 16.619
_cell_length_b 16.619
_cell_length_c 16.619
_cell_angle_alpha 109.47
_cell_angle_beta 109.47
_cell_angle_gamma 109.47
_symmetry_space_group_name_H-M 'P 1'
_symmetry_Int_Tables_number 1
_symmetry_space_group_name_Hall 'P 1'
loop_
_atom_site_label
_atom_site_fract_x
_atom_site_fract_y
_atom_site_fract_z
K1 0.671 0.442 0.582
K2 0.411 0.271 0.329
K3 0.360 0.942 0.771
K4 0.860 0.589 0.918
K5 0.582 0.640 0.411
K6 0.640 0.582 0.911
K7 0.771 0.329 0.911
K8 0.229 0.671 0.089
K9 0.589 0.729 0.671
K10 0.418 0.360 0.589
K11 0.171 0.089 0.729
K12 0.271 0.860 0.942
K13 0.558 0.329 0.918
K14 0.558 0.229 0.140
K15 0.771 0.442 0.360
K16 0.582 0.942 0.671
K17 0.829 0.911 0.271
K18 0.671 0.229 0.589
K19 0.729 0.589 0.171
K20 0.229 0.558 0.640
K21 0.589 0.860 0.418
K22 0.171 0.082 0.942
K23 0.140 0.729 0.558
K24 0.082 0.911 0.140
K25 0.089 0.918 0.360
K26 0.058 0.640 0.729
K27 0.411 0.140 0.582
K28 0.918 0.089 0.860
K29 0.942 0.360 0.271
K30 0.329 0.558 0.418
K31 0.140 0.411 0.082
K32 0.082 0.171 0.442
K33 0.442 0.771 0.860
K34 0.271 0.411 0.829
K35 0.942 0.582 0.171
K36 0.860 0.271 0.442
K37 0.442 0.671 0.082
K38 0.089 0.171 0.229
K39 0.329 0.771 0.411
K40 0.918 0.829 0.558
K41 0.911 0.829 0.771
K42 0.640 0.058 0.229
K43 0.829 0.918 0.058
K44 0.418 0.058 0.329
K45 0.911 0.082 0.640
K46 0.729 0.140 0.058
K47 0.058 0.418 0.829
K48 0.360 0.418 0.089
Br1 0.000 0.500 0.000
Br2 0.375 0.250 0.125
Br3 0.000 0.000 0.500
Br4 0.750 0.125 0.875
Br5 0.250 0.375 0.625
Br6 0.500 0.000 0.000
Br7 0.500 0.500 0.000
Br8 0.125 0.375 0.250
Br9 0.375 0.125 0.750
Br10 0.250 0.875 0.125
Br11 0.000 0.500 0.500
Br12 0.625 0.875 0.250
Br13 0.000 0.000 0.000
Br14 0.500 0.500 0.500
Br15 0.875 0.250 0.625
Br16 0.500 0.000 0.500
Br17 0.750 0.625 0.375
Br18 0.875 0.625 0.750
Br19 0.625 0.750 0.875
Br20 0.125 0.750 0.375
Se1 0.125 0.875 0.750
Se2 0.250 0.125 0.375
Se3 0.875 0.750 0.125
Se4 0.625 0.375 0.750
Se5 0.250 0.625 0.875
Se6 0.875 0.125 0.250
Se7 0.375 0.625 0.250
Se8 0.750 0.375 0.125
Se9 0.750 0.875 0.625
Se10 0.625 0.250 0.375
Se11 0.125 0.250 0.875
Se12 0.375 0.750 0.625
```

Summary:
crystal system: cubic
E_form (uncorrected): -1264 meV per atom

=====

Here is crystalline K2OsSe at its relaxed geometry from Alexandria via LeMat-Bulk. Energies are from PBE-GGA.

Structure (CIF):
```
data_K2OsSe
_chemical_formula_sum 'K2 Os1 Se1'
_cell_length_a 5.992
_cell_length_b 5.992
_cell_length_c 5.992
_cell_angle_alpha 138.62
_cell_angle_beta 138.66
_cell_angle_gamma 59.92
_symmetry_space_group_name_H-M 'P 1'
_symmetry_Int_Tables_number 1
_symmetry_space_group_name_Hall 'P 1'
loop_
_atom_site_label
_atom_site_fract_x
_atom_site_fract_y
_atom_site_fract_z
Se1 0.250 0.750 0.500
Os1 0.750 0.250 0.500
K1 0.000 0.000 0.000
K2 0.500 0.500 0.000
```

Summary:
crystal system: tetragonal
E_form (uncorrected): 812 meV per atom

=====

Here is crystalline MgCu2AsC at its relaxed geometry from Alexandria via LeMat-Bulk. Energies are from PBE-GGA.

Structure (CIF):
```
data_MgCu2AsC
_chemical_formula_sum 'Mg1 Cu2 As1 C1'
_cell_length_a 3.831
_cell_length_b 5.062
_cell_length_c 3.831
_cell_angle_alpha 90.00
_cell_angle_beta 90.00
_cell_angle_gamma 90.00
_symmetry_space_group_name_H-M 'P 1'
_symmetry_Int_Tables_number 1
_symmetry_space_group_name_Hall 'P 1'
loop_
_atom_site_label
_atom_site_fract_x
_atom_site_fract_y
_atom_site_fract_z
Mg1 0.500 0.500 0.500
As1 0.000 0.500 0.000
C1 0.000 0.000 0.000
Cu1 0.000 0.000 0.500
Cu2 0.500 0.000 0.000
```

Summary:
crystal system: tetragonal
E_form: 441 meV per atom

=====

D(E_F) for every record listed, in sequence, given in states/eV per cell: 16.597, 3.024, 10.362, 6.151, 6.977, 5.161, 3.380, 2.723.